1.
The following is a DFT calculation (PBEsol) of a relaxed ErCo2Ge2 crystal.

**DFT formation energy**: -0.6695 eV/atom
**VASP energy**: -6.725 eV/atom

POSCAR file:
```
ErCo2Ge2
1.0
3.8804 0.0000 0.0000
0.0000 3.8804 0.0000
-1.9402 -1.9402 4.9741
Ge Co Er
2 2 1
direct
0.3734 0.3734 0.7469
0.6266 0.6266 0.2531
0.7500 0.2500 0.5000
0.2500 0.7500 0.5000
0.0000 0.0000 0.0000
```

***

2.
The following is a DFT calculation (PBEsol) of a relaxed Er7CoI12 crystal.

**E_form (uncorrected)**: -1.191 eV per atom
**VASP energy**: -4.362 eV/atom

POSCAR file:
```
Er7CoI12
1.0
-4.1589 6.1299 -5.7782
-5.9943 -7.1415 1.1521
0.8000 4.2457 8.3423
Er Co I
7 1 12
direct
0.5000 0.5000 0.5000
0.0931 0.0220 0.2903
0.2903 0.0931 0.0220
0.0220 0.2903 0.0931
0.9069 0.9780 0.7097
0.7097 0.9069 0.9780
0.9780 0.7097 0.9069
0.0000 0.0000 0.0000
0.1582 0.3881 0.4686
0.4686 0.1582 0.3881
0.3881 0.4686 0.1582
0.8418 0.6119 0.5314
0.5314 0.8418 0.6119
0.6119 0.5314 0.8418
0.7713 0.9295 0.3274
0.3274 0.7713 0.9295
0.9295 0.3274 0.7713
0.2287 0.0705 0.6726
0.6726 0.2287 0.0705
0.0705 0.6726 0.2287
```

***

3.
The following is a DFT calculation (PBEsol) of a relaxed ErInCo4 crystal.

**DFT formation energy**: -0.1804 eV/atom
**VASP energy**: -6.657 eV/atom

POSCAR file:
```
ErInCo4
1.0
-0.9970 1.0016 -4.6736
2.7474 -1.9231 -3.5486
-1.8383 -3.4697 -2.9019
Er Co In
1 4 1
direct
0.2500 0.2500 0.2500
0.1233 0.6256 0.6256
0.6256 0.1233 0.6256
0.6256 0.6256 0.1233
0.6256 0.6256 0.6256
0.0000 0.0000 0.0000
```

***

4.
The following is a DFT calculation (PBEsol) of a relaxed Er4MgCo crystal.

**DFT formation energy**: -0.1558 eV/atom
**VASP energy**: -5.016 eV/atom

POSCAR file:
```
Er4MgCo
1.0
9.3278 0.0000 0.0000
4.6639 8.0781 0.0000
4.6639 2.6927 7.6161
Er Mg Co
16 4 4
direct
0.4063 0.4063 0.7810
0.7810 0.4063 0.4063
0.4063 0.4063 0.4063
0.4063 0.7810 0.4063
0.5641 0.9359 0.9359
0.9359 0.5641 0.5641
0.5641 0.5641 0.9359
0.9359 0.9359 0.5641
0.9359 0.5641 0.9359
0.5641 0.9359 0.5641
0.1876 0.8124 0.8124
0.8124 0.1876 0.1876
0.1876 0.1876 0.8124
0.8124 0.8124 0.1876
0.8124 0.1876 0.8124
0.1876 0.8124 0.1876
0.1704 0.1704 0.4887
0.4887 0.1704 0.1704
0.1704 0.1704 0.1704
0.1704 0.4887 0.1704
0.6094 0.6094 0.1719
0.1719 0.6094 0.6094
0.6094 0.6094 0.6094
0.6094 0.1719 0.6094
```

***

5.
The following is a DFT calculation (PBEsol) of a relaxed ErCoNi crystal.

**DFT formation energy**: -0.3675 eV/atom
**VASP energy**: -6.641 eV/atom

POSCAR file:
```
ErCoNi
1.0
4.9559 0.0000 0.0000
-2.4779 4.2995 0.0557
0.0000 -2.7750 3.9649
Ni Co Er
2 2 2
direct
0.5000 0.5000 0.0000
0.0000 0.5000 0.0000
0.5000 0.0000 0.0000
0.5000 0.0000 0.5000
0.1274 0.2548 0.3774
0.8726 0.7452 0.6226
```

***

6.
The following is a DFT calculation (PBEsol) of a relaxed ErCoO3 crystal.

**E_form (uncorrected)**: -2.392 eV per atom
**VASP energy**: -8.074 eV/atom

POSCAR file:
```
ErCoO3
1.0
-4.7964 -0.4647 -1.3878
1.5503 -0.5299 -5.1805
0.4444 -7.1761 0.8670
Er Co O
4 4 12
direct
0.0247 0.9199 0.7500
0.4753 0.4199 0.7500
0.5247 0.5801 0.2500
0.9753 0.0801 0.2500
0.5000 0.0000 0.5000
0.5000 0.0000 0.0000
0.0000 0.5000 0.5000
0.0000 0.5000 0.0000
0.8942 0.5297 0.7500
0.8129 0.8037 0.0515
0.1871 0.1963 0.5515
0.1058 0.4703 0.2500
0.3942 0.9703 0.2500
0.6871 0.3037 0.4485
0.3129 0.6963 0.9485
0.6058 0.0297 0.7500
0.1871 0.1963 0.9485
0.8129 0.8037 0.4485
0.3129 0.6963 0.5515
0.6871 0.3037 0.0515
```

***

7.
The following is a DFT calculation (PBEsol) of a relaxed Er5Co19P12 crystal.

**DFT formation energy**: -0.9961 eV/atom
**VASP energy**: -7.694 eV/atom

POSCAR file:
```
Er5Co19P12
1.0
3.6039 0.0000 0.0000
0.0000 11.8048 0.0000
0.0000 -5.9024 10.2233
Er Co P
5 19 12
direct
0.0000 0.6667 0.3333
0.0000 0.3333 0.6667
0.5000 0.0000 0.1868
0.5000 0.1868 0.0000
0.5000 0.8132 0.8132
0.0000 0.3775 0.1991
0.0000 0.8217 0.6225
0.0000 0.8009 0.1783
0.0000 0.6225 0.8217
0.0000 0.1783 0.8009
0.0000 0.1991 0.3775
0.0000 0.0000 0.5529
0.0000 0.5529 0.0000
0.0000 0.4471 0.4471
0.5000 0.4834 0.1255
0.5000 0.6420 0.5166
0.5000 0.8745 0.3580
0.5000 0.5166 0.6420
0.5000 0.3580 0.8745
0.5000 0.1255 0.4834
0.5000 0.0000 0.7151
0.5000 0.7151 0.0000
0.5000 0.2849 0.2849
0.0000 0.0000 0.0000
0.0000 0.0000 0.3676
0.0000 0.3676 0.0000
0.0000 0.6324 0.6324
0.5000 0.4806 0.3151
0.5000 0.8345 0.5194
0.5000 0.6849 0.1655
0.5000 0.5194 0.8345
0.5000 0.1655 0.6849
0.5000 0.3151 0.4806
0.0000 0.0000 0.8196
0.0000 0.8196 0.0000
0.0000 0.1804 0.1804
```

***

8.
The following is a DFT calculation (PBEsol) of a relaxed PrErCo17 crystal.

**DFT formation energy**: -0.0592 eV/atom
**VASP energy**: -7.514 eV/atom

POSCAR file:
```
PrErCo17
1.0
6.1806 0.0114 0.0103
0.7355 6.1367 0.0103
0.7355 0.6538 6.1018
Pr Er Co
1 1 17
direct
0.6541 0.6541 0.6541
0.3430 0.3430 0.3430
0.0015 0.7126 0.2870
0.7126 0.2870 0.0015
0.2870 0.0015 0.7126
0.2870 0.7126 0.0015
0.7126 0.0015 0.2870
0.0015 0.2870 0.7126
0.1486 0.6539 0.6539
0.6539 0.6539 0.1486
0.6539 0.1486 0.6539
0.8515 0.3438 0.3438
0.3438 0.3438 0.8515
0.3438 0.8515 0.3438
0.4993 0.0021 0.0021
0.0021 0.0021 0.4993
0.0021 0.4993 0.0021
0.0973 0.0973 0.0973
0.9045 0.9045 0.9045
```

***

9.
The following is a DFT calculation (PBEsol) of a relaxed ErCoRu crystal.

**DFT formation energy**: -0.2903 eV/atom
**VASP energy**: -7.903 eV/atom

POSCAR file:
```
ErCoRu
1.0
-1.6054 -2.6513 -4.0035
-0.0363 -2.1261 4.6244
-3.3035 3.6766 -1.1106
Ru Co Er
2 2 2
direct
0.5000 0.0000 0.5000
0.5000 0.0000 0.0000
0.0000 0.5000 0.0000
0.5000 0.5000 0.0000
0.1254 0.2508 0.3754
0.8746 0.7492 0.6246
```

***

10.
The following is a DFT calculation (PBEsol) of a relaxed Er5CoSb2 crystal.

**E_form (uncorrected)**: -0.731 eV per atom
**VASP energy**: -5.917 eV/atom

POSCAR file:
```
Er5CoSb2
1.0
7.6623 0.0000 0.0000
0.0000 8.5864 0.0000
0.0000 0.0000 11.8939
Er Co Sb
20 4 8
direct
0.8455 0.2500 0.2033
0.3455 0.7500 0.2967
0.1545 0.7500 0.7967
0.6545 0.2500 0.7033
0.5481 0.2500 0.9978
0.0481 0.7500 0.5022
0.4519 0.7500 0.0022
0.9519 0.2500 0.4978
0.3783 0.2500 0.3073
0.8783 0.7500 0.1927
0.6217 0.7500 0.6927
0.1217 0.2500 0.8073
0.1780 0.0371 0.0647
0.6780 0.9629 0.4353
0.8220 0.5371 0.9353
0.3220 0.4629 0.5647
0.8220 0.9629 0.9353
0.3220 0.0371 0.5647
0.1780 0.4629 0.0647
0.6780 0.5371 0.4353
0.5697 0.2500 0.4897
0.0697 0.7500 0.0103
0.4303 0.7500 0.5103
0.9303 0.2500 0.9897
0.0710 0.0082 0.3270
0.5710 0.9918 0.1730
0.9290 0.5082 0.6730
0.4290 0.4918 0.8270
0.9290 0.9918 0.6730
0.4290 0.0082 0.8270
0.0710 0.4918 0.3270
0.5710 0.5082 0.1730
```

***

11.
The following is a DFT calculation (PBEsol) of a relaxed Er3CoSi3 crystal.

**E_form (uncorrected)**: -0.864 eV per atom
**VASP energy**: -6.543 eV/atom

POSCAR file:
```
Er3CoSi3
1.0
-3.3399 -0.1827 -2.3547
-3.6366 -3.6917 1.8914
-7.1178 8.3867 5.8920
Er Co Si
6 2 6
direct
0.7482 0.7324 0.7713
0.4003 0.2806 0.9188
0.5997 0.7194 0.0812
0.4762 0.6683 0.3792
0.2518 0.2676 0.2287
0.5238 0.3317 0.6208
0.7522 0.0773 0.4183
0.2478 0.9227 0.5817
0.0542 0.1345 0.7571
0.1390 0.2657 0.4562
0.8610 0.7343 0.5438
0.9458 0.8655 0.2429
0.8841 0.1560 0.0758
0.1159 0.8440 0.9242
```

***

12.
The following is a DFT calculation (PBEsol) of a relaxed ErCo2Si2 crystal.

**E_form (uncorrected)**: -0.904 eV per atom
**VASP energy**: -7.282 eV/atom

POSCAR file:
```
ErCo2Si2
1.0
-2.0166 3.0972 -0.9390
-3.1686 -2.1147 -0.1705
1.7620 0.3782 5.2061
Si Co Er
2 2 1
direct
0.3726 0.3726 0.7451
0.6274 0.6274 0.2549
0.2500 0.7500 0.5000
0.7500 0.2500 0.5000
0.0000 0.0000 0.0000
```